[1]
A plane-wave DFT calculation with GGA-PBE was carried out for crystalline Mg2Ge2P at its relaxed geometry.

**Energy of formation from the pure elements**: 0.04 eV per atom
**Calculated volume**: 193 Å³/cell
**Density**: 3.875 Mg/m³
**Density of states at the Fermi level**: 3.66 states/eV/cell
**Calculated total energy**: -35.24 eV/cell

Unit cell a=6.917 b=6.917 c=4.028 alpha=90.00 beta=90.00 gamma=90.00
Atoms (fractional coordinates):
Mg  0.827  0.327  0.500
Mg  0.327  0.173  0.500
Mg  0.173  0.673  0.500
Mg  0.673  0.827  0.500
P  0.500  0.500  0.000
P  0.000  0.000  0.000
Ge  0.632  0.132  0.000
Ge  0.368  0.868  0.000
Ge  0.132  0.368  0.000
Ge  0.868  0.632  0.000

***

[2]
A plane-wave DFT calculation with GGA-PBE was carried out for crystalline TiTlClO2 at its relaxed geometry.

**Formation energy (no corrections)**: -2.095 eV per atom
**Calculated volume**: 232 Å³/cell
**Density**: 4.568 Mg/m³
**Density of states at the Fermi level**: 0.00 states/eV/cell
**Calculated total energy**: -64.99 eV/cell

Unit cell a=3.795 b=7.624 c=8.157 alpha=99.92 beta=90.00 gamma=90.00
Atoms (fractional coordinates):
O  0.750  0.907  0.930
O  0.250  0.014  0.690
O  0.750  0.986  0.310
O  0.250  0.093  0.070
Ti  0.250  0.912  0.863
Ti  0.750  0.088  0.137
Tl  0.250  0.761  0.394
Tl  0.750  0.239  0.606
Cl  0.250  0.606  0.750
Cl  0.750  0.394  0.250

***

[3]
A plane-wave DFT calculation with GGA-PBE was carried out for crystalline Tm3Sc2In2 at its relaxed geometry.

**Energy of formation from the pure elements**: 0.00 eV per atom
**Calculated volume**: 181 Å³/cell
**Density**: 7.579 Mg/m³
**Density of states at the Fermi level**: 8.05 states/eV/cell
**Calculated total energy**: -31.52 eV/cell

Unit cell a=5.133 b=3.219 c=11.255 alpha=90.00 beta=103.19 gamma=90.00
Last column: magnetic moment on the atom in μB.
Atoms (fractional coordinates):
Tm  0.000  0.000  0.000  0.12
Tm  0.288  0.000  0.576  -0.01
Tm  0.712  0.000  0.424  -0.01
In  0.577  0.500  0.153  0.00
In  0.423  0.500  0.847  0.00
Sc  0.137  0.000  0.274  0.08
Sc  0.863  0.000  0.726  0.08

***

[4]
A plane-wave DFT calculation with GGA-PBE was carried out for crystalline Ba2CdPbS at its relaxed geometry.

**Formation energy (no corrections)**: -0.642 eV per atom
**Calculated volume**: 205 Å³/cell
**Density**: 5.067 Mg/m³
**Density of states at the Fermi level**: 3.60 states/eV/cell
**Calculated total energy**: -15.81 eV/cell

Unit cell a=6.054 b=5.601 c=6.054 alpha=90.00 beta=90.00 gamma=90.00
Atoms (fractional coordinates):
Cd  0.500  0.500  0.500
Ba  0.000  0.000  0.500
Ba  0.500  0.000  0.000
S  0.000  0.000  0.000
Pb  0.000  0.500  0.000

***

[5]
A plane-wave DFT calculation with GGA-PBE was carried out for crystalline GdTmLuPu at its relaxed geometry.

**Energy of formation from the pure elements**: 0.16 eV per atom
**Calculated volume**: 120 Å³/cell
**Density**: 10.305 Mg/m³
**Density of states at the Fermi level**: 9.35 states/eV/cell
**Calculated total energy**: -36.75 eV/cell

Unit cell a=5.538 b=5.538 c=5.538 alpha=60.00 beta=60.00 gamma=60.00
Last column: magnetic moment on the atom in μB.
Atoms (fractional coordinates):
Gd  0.500  0.500  0.500  -7.16
Lu  0.750  0.750  0.750  0.11
Tm  0.250  0.250  0.250  0.14
Pu  0.000  0.000  0.000  5.50

***

[6]
A plane-wave DFT calculation with GGA-PBE was carried out for crystalline Ba2ZnHg2 at its relaxed geometry.

**Energy of formation from the pure elements**: -0.20 eV per atom
**Calculated volume**: 193 Å³/cell
**Density**: 6.386 Mg/m³
**Density of states at the Fermi level**: 5.15 states/eV/cell
**Calculated total energy**: -6.74 eV/cell

Unit cell a=6.656 b=6.656 c=6.409 alpha=58.72 beta=58.72 gamma=90.00
Atoms (fractional coordinates):
Ba  0.750  0.250  0.500
Ba  0.250  0.750  0.500
Hg  0.663  0.663  0.674
Hg  0.337  0.337  0.326
Zn  0.000  0.000  0.000